Compound: NaPmO2
Source: Alexandria via LeMat-Bulk
Functional: PBE-GGA
Structure: relaxed

Unit cell a=4.109 b=4.109 c=3.007 alpha=90.00 beta=90.00 gamma=90.00
Space group P4/mmm (No. 123)
Asymmetric unit:
1 Na 0.000 0.000 0.000 (multiplicity 1)
2 Pm 0.500 0.500 0.000 (multiplicity 1)
3 O 0.000 0.500 0.500 (multiplicity 2)

Summary:
**Final energy**: -0.4554 Ry per atom
**Magnetic moment**: 0.00 μB per formula unit
**Relative energy among the computed polymorphs**: 0.483 eV per atom
**Formation energy (no corrections)**: -2.200 eV/atom